1.
# KFe2Cl

An optimized crystal structure of KFe2Cl (PBEsol, Alexandria via LeMat-Bulk).

POSCAR file:
```
KFe2Cl
1.0
-2.1377 -0.8234 2.0771
2.9629 -1.9964 4.5597
0.6556 3.6718 4.4321
Cl K Fe
1 1 2
Cartesian
-0.0379 0.0359 2.2770
0.6143 0.3713 5.3829
-2.1358 -0.8226 2.0794
1.6429 0.8701 8.9412
```

* space-group type: Imm2, No. 44
* uncorrected energy: -19.29 eV per formula unit
* raw formation energy: 445 meV per atom
* E above lowest polymorph: 1.36 eV/f.u.
* total moment: 4.051 μB per cell

---

2.
# KFeCl

An optimized crystal structure of KFeCl (PBEsol, Alexandria via LeMat-Bulk).

POSCAR file:
```
KFeCl
1.0
3.2200 -0.0068 0.0000
-0.6203 3.1597 0.0000
-1.2999 -1.5764 6.3951
K Cl Fe
1 1 1
Cartesian
1.2999 1.5764 1.9541
1.2999 1.5764 6.1298
0.0000 0.0000 4.7063
```

* space-group type: Fmm2, No. 42
* uncorrected energy: -11.61 eV per formula unit
* raw formation energy: 164 meV per atom
* E above lowest polymorph: 0.07 eV/f.u.
* total moment: 2.967 μB per cell

---

3.
# KFe2Cl

An optimized crystal structure of KFe2Cl (PBEsol, Alexandria via LeMat-Bulk).

POSCAR file:
```
KFe2Cl
1.0
4.7265 0.0000 0.0000
2.3632 4.0932 0.0000
2.3632 1.3644 3.8591
Fe K Cl
2 1 1
Cartesian
7.0897 4.0932 2.8943
2.3632 1.3644 0.9648
4.7265 2.7288 1.9296
0.0000 0.0000 0.0000
```

* space-group type: Fm-3m, No. 225
* uncorrected energy: -15.42 eV per formula unit
* raw formation energy: 1411 meV per atom
* E above lowest polymorph: 5.22 eV/f.u.
* total moment: 5.601 μB per cell

---

4.
# K6LiFe24S26Cl

An optimized crystal structure of K6LiFe24S26Cl (PBEsol, Alexandria via LeMat-Bulk).

POSCAR file:
```
K6LiFe24S26Cl
1.0
-1.1309 -5.9855 -7.4641
9.4629 -1.8087 0.0167
-1.4116 -7.3294 6.0914
Fe S Li K Cl
24 26 1 6 1
Cartesian
5.4123 -4.3284 -1.8781
2.8423 -3.8372 -1.8826
6.8644 -8.4023 1.1688
0.3631 -5.0958 -0.4977
1.5081 -10.7953 0.5221
4.0781 -11.2865 0.5266
0.0559 -6.7214 -2.5248
1.9555 -8.4983 -4.2227
6.5573 -10.0279 -0.8583
-0.3275 -8.7119 -0.8705
5.3483 -4.6348 1.2123
4.3852 -9.6609 2.5537
5.1051 -5.9540 -3.9052
1.8152 -9.1697 2.5492
-0.0203 -7.0863 1.1567
2.5351 -5.4628 -3.9097
4.9649 -6.6253 2.8667
2.3949 -6.1341 2.8621
6.9406 -8.0373 -2.5127
1.5721 -10.4889 -2.5683
4.5255 -8.9895 -4.2182
2.7783 -4.1435 1.2078
7.2478 -6.4117 -0.4855
4.1421 -10.9801 -2.5638
3.8819 -5.4006 -5.5985
1.0947 -7.1097 -0.6822
6.5429 -4.3514 -3.7195
5.3912 -11.7820 -1.0564
6.0224 -8.4415 3.1092
3.6711 -6.4100 4.5841
3.7429 -6.0656 1.1878
6.1791 -7.6915 -4.4559
0.7413 -7.4321 3.0999
6.4025 -5.0234 3.0582
3.1073 -9.3940 0.8447
1.6487 -4.1147 3.0499
1.5291 -3.3417 -0.2996
0.8979 -6.6821 -4.4652
-1.6259 -8.4985 0.8437
5.8256 -8.0139 -0.6738
-0.9872 -5.1540 1.1885
3.8130 -5.7297 -2.2007
4.4501 -2.3937 -1.8489
0.1101 -10.7726 -1.0657
-1.5553 -8.1609 -2.5612
-0.9167 -4.8165 -2.2164
4.3802 -2.7281 1.5240
1.7891 -3.4428 -3.7279
6.8102 -4.3511 -0.2903
3.1775 -9.0580 -2.5438
3.4602 -7.5618 -0.6780
-0.9867 -5.1232 4.2579
6.6145 -1.2643 0.0116
2.8484 -0.5444 0.0050
-0.7905 -4.1839 -5.2174
-0.4249 -2.2062 1.8335
-0.3404 -1.8017 -2.2467
0.0000 0.0000 0.0000
```

* space-group type: Pm-3m, No. 221
* uncorrected energy: -378.73 eV per formula unit
* raw formation energy: -670 meV per atom
* total moment: 0.004 μB per cell